This record from Alexandria via LeMat-Bulk describes a geometry-optimized LiCd2Cu6 structure. The functional is PBE.

Properties
energy relative to the elements = 207 meV/atom
D(E_F) = 21.8 states/eV/cell
calculated volume = 14.546 Å³ per atom

```
data_LiCd2Cu6
_cell_length_a 8.0602
_cell_length_b 8.0602
_cell_length_c 8.0602
_cell_angle_alpha 90.00
_cell_angle_beta 90.00
_cell_angle_gamma 90.00
_symmetry_space_group_name_H-M 'F m -3 m'
_symmetry_Int_Tables_number 225
_symmetry_space_group_name_Hall '-F 4 2 3'
loop_
_atom_site_label
_atom_site_type_symbol
_atom_site_fract_x
_atom_site_fract_y
_atom_site_fract_z
Li1 Li 0.0000 0.0000 0.0000
Cd1 Cd 0.2500 0.2500 0.2500
Cu1 Cu 0.0000 0.0000 0.2803
```